This record from Alexandria describes a relaxed structure of BiH. The functional is PBE-GGA.

Unit cell a=4.3223 b=4.3223 c=7.8047 alpha=105.23 beta=105.23 gamma=60.20
Atoms (fractional coordinates):
Bi1 0.2039 0.2039 0.1167
Bi2 0.7961 0.7961 0.8833
H1 0.0047 0.0047 0.5495
H2 0.9953 0.9953 0.4505

Output
The calculation puts the size of the total moment at 0.00 μB per atom. Its polymorph energy (0 for the lowest one) is 0 meV/atom.